{"formula": "Mn2BF", "functional": "PBE with a Hubbard U", "state": "relaxed", "cell": [[-3.2175, 4.7525, 0.1593], [-4.6085, -3.0691, -1.5186], [-4.5984, 0.2691, 2.5577]], "species": ["B", "B", "F", "F", "Mn", "Mn", "Mn", "Mn"], "frac_coords": [[0.2500, 0.7500, 0.5000], [0.5000, 0.5000, 0.0000], [0.7500, 0.2500, 0.5000], [0.0000, 0.0000, 0.0000], [0.1404, 0.6250, 0.2500], [0.6096, 0.1250, 0.2500], [0.8750, 0.8596, 0.7500], [0.3750, 0.3904, 0.7500]], "e_tot_ev_per_atom": -6.09, "magmom_total_mub_per_cell": 16.00, "e_above_lowest_polymorph_ev_per_fu": 0.00}